1.
La3AlZnS7 GGA-PBE optimized geometry; magnetic moment = 0.00 μB/cell; crystal system = hexagonal; space-group type = P6_3; total DFT energy (no corrections) = -139.19 eV for the cell shown
1.0
10.200 0.000 0.000
-5.100 8.833 0.000
0.000 0.000 6.200
La Al Zn S
6 2 2 14
direct
0.144 0.376 0.000 La
0.232 0.856 0.000 La
0.376 0.232 0.500 La
0.624 0.768 0.000 La
0.768 0.144 0.500 La
0.856 0.624 0.500 La
0.333 0.667 0.420 Al
0.667 0.333 0.920 Al
0.000 0.000 0.102 Zn
0.000 0.000 0.602 Zn
0.099 0.252 0.550 S
0.101 0.579 0.273 S
0.153 0.901 0.550 S
0.252 0.153 0.050 S
0.333 0.667 0.782 S
0.421 0.522 0.273 S
0.478 0.899 0.273 S
0.522 0.101 0.773 S
0.579 0.478 0.773 S
0.667 0.333 0.282 S
0.748 0.847 0.550 S
0.847 0.099 0.050 S
0.899 0.421 0.773 S
0.901 0.748 0.050 S


2.
LaSmAl GGA-PBE optimized geometry; magnetic moment = 1.66 μB/cell; crystal system = cubic; space-group type = F-43m; relative energy among the computed polymorphs = 0 meV/atom; total DFT energy (no corrections) = -49.34 eV for the cell shown
1.0
7.201 0.000 0.000
0.000 7.201 0.000
0.000 0.000 7.201
La Sm Al
4 4 4
direct
0.000 0.000 0.000 La
0.000 0.500 0.500 La
0.500 0.000 0.500 La
0.500 0.500 0.000 La
0.250 0.250 0.750 Sm
0.250 0.750 0.250 Sm
0.750 0.250 0.250 Sm
0.750 0.750 0.750 Sm
0.000 0.000 0.500 Al
0.000 0.500 0.000 Al
0.500 0.000 0.000 Al
0.500 0.500 0.500 Al


3.
LaTbAl GGA-PBE optimized geometry; magnetic moment = 0.04 μB/cell; crystal system = cubic; space-group type = F-43m; total DFT energy (no corrections) = -47.23 eV for the cell shown
1.0
7.292 0.000 0.000
0.000 7.292 0.000
0.000 0.000 7.292
La Tb Al
4 4 4
direct
0.000 0.000 0.000 La
0.000 0.500 0.500 La
0.500 0.000 0.500 La
0.500 0.500 0.000 La
0.250 0.250 0.250 Tb
0.250 0.750 0.750 Tb
0.750 0.250 0.750 Tb
0.750 0.750 0.250 Tb
0.250 0.250 0.750 Al
0.250 0.750 0.250 Al
0.750 0.250 0.250 Al
0.750 0.750 0.750 Al


4.
LaTmAl GGA-PBE optimized geometry; magnetic moment = 0.02 μB/cell; crystal system = cubic; space-group type = F-43m; relative energy among the computed polymorphs = 0 meV/atom; total DFT energy (no corrections) = -48.20 eV for the cell shown
1.0
7.124 0.000 0.000
0.000 7.124 0.000
0.000 0.000 7.124
La Tm Al
4 4 4
direct
0.000 0.000 0.000 La
0.000 0.500 0.500 La
0.500 0.000 0.500 La
0.500 0.500 0.000 La
0.250 0.250 0.750 Tm
0.250 0.750 0.250 Tm
0.750 0.250 0.250 Tm
0.750 0.750 0.750 Tm
0.000 0.000 0.500 Al
0.000 0.500 0.000 Al
0.500 0.000 0.000 Al
0.500 0.500 0.500 Al